Entry 1:
# InAgPb2 (PBE, relaxed)
# Formation energy from the elements   0.38 eV per formula unit
data_InAgPb2
_chemical_formula_sum 'In3 Ag3 Pb6'
_space_group_name_H-M_alt 'R -3 m'
_space_group_IT_number 166
_space_group_name_Hall '-R 3 2"'
_cell_length_a 3.4195
_cell_length_b 3.4195
_cell_length_c 32.3426
_cell_angle_alpha 90.00
_cell_angle_beta 90.00
_cell_angle_gamma 120.00
loop_
_atom_site_label
_atom_site_fract_x
_atom_site_fract_y
_atom_site_fract_z
In1 0.0000 0.0000 0.0000
Ag1 0.0000 0.0000 0.5000
Pb1 0.0000 0.0000 0.2419


Entry 2:
# In6AgPb2 (PBE, relaxed)
# Formation energy from the elements   0.25 eV per formula unit
data_In6AgPb2
_chemical_formula_sum 'In12 Ag2 Pb4'
_space_group_name_H-M_alt 'A m m 2'
_space_group_IT_number 38
_cell_length_a 3.460
_cell_length_b 15.659
_cell_length_c 8.998
_cell_angle_alpha 90.00
_cell_angle_beta 90.00
_cell_angle_gamma 90.00
loop_
_space_group_symop_operation_xyz
'x,y,z'
'-x,-y,z'
'-x,y,z'
'x,-y,z'
'x,y+1/2,z+1/2'
'-x,-y+1/2,z+1/2'
'-x,y+1/2,z+1/2'
'x,-y+1/2,z+1/2'
loop_
_atom_site_label
_atom_site_fract_x
_atom_site_fract_y
_atom_site_fract_z
In1 0.000 0.000 0.000
In2 0.000 0.133 0.585
In3 0.500 0.000 0.356
In4 0.500 0.177 0.903
Ag1 0.500 0.000 0.728
Pb1 0.000 0.170 0.223


Entry 3:
# InAgPb2 (PBE, relaxed)
# Formation energy from the elements   0.27 eV per formula unit
data_InAgPb2
_chemical_formula_sum 'In1 Ag1 Pb2'
_space_group_name_H-M_alt 'P 1 m 1'
_space_group_IT_number 6
_cell_length_a 3.591
_cell_length_b 4.815
_cell_length_c 6.483
_cell_angle_alpha 90.00
_cell_angle_beta 105.05
_cell_angle_gamma 90.00
loop_
_space_group_symop_operation_xyz
'x,y,z'
'x,-y,z'
loop_
_atom_site_label
_atom_site_fract_x
_atom_site_fract_y
_atom_site_fract_z
In1 0.000 0.000 0.000
Ag1 0.835 0.500 0.727
Pb1 0.259 0.000 0.544
Pb2 0.609 0.500 0.219


Entry 4:
# In6Ag6Pb (PBE, relaxed)
# Formation energy from the elements   -0.28 eV per formula unit
data_In6Ag6Pb
_chemical_formula_sum 'In12 Ag12 Pb2'
_space_group_name_H-M_alt 'I m m m'
_space_group_IT_number 71
_space_group_name_Hall '-I 2 2'
_cell_length_a 5.861
_cell_length_b 9.794
_cell_length_c 10.064
_cell_angle_alpha 90.00
_cell_angle_beta 90.00
_cell_angle_gamma 90.00
loop_
_atom_site_label
_atom_site_fract_x
_atom_site_fract_y
_atom_site_fract_z
In1 0.000 0.000 0.159
In2 0.000 0.349 0.500
In3 0.000 0.500 0.179
Ag1 0.000 0.258 0.000
Ag2 0.250 0.250 0.250
Pb1 0.000 0.000 0.500


Entry 5:
# InAgPb2 (PBE, relaxed)
# Formation energy from the elements   0.36 eV per formula unit
data_InAgPb2
_chemical_formula_sum 'In2 Ag2 Pb4'
_space_group_name_H-M_alt 'I 4/m m m'
_space_group_IT_number 139
_space_group_name_Hall '-I 4 2'
_cell_length_a 4.904
_cell_length_b 4.904
_cell_length_c 8.914
_cell_angle_alpha 90.00
_cell_angle_beta 90.00
_cell_angle_gamma 90.00
loop_
_atom_site_label
_atom_site_fract_x
_atom_site_fract_y
_atom_site_fract_z
In1 0.000 0.000 0.000
Ag1 0.000 0.000 0.500
Pb1 0.000 0.500 0.250


Entry 6:
# In2AgPb (PBE, relaxed)
# Formation energy from the elements   0.26 eV per formula unit
data_In2AgPb
_chemical_formula_sum 'In2 Ag1 Pb1'
_space_group_name_H-M_alt 'P 1 m 1'
_space_group_IT_number 6
_cell_length_a 3.587
_cell_length_b 4.653
_cell_length_c 6.437
_cell_angle_alpha 90.00
_cell_angle_beta 105.11
_cell_angle_gamma 90.00
loop_
_space_group_symop_operation_xyz
'x,y,z'
'x,-y,z'
loop_
_atom_site_label
_atom_site_fract_x
_atom_site_fract_y
_atom_site_fract_z
In1 0.000 0.000 0.000
In2 0.398 0.500 0.793
Ag1 0.227 0.000 0.499
Pb1 0.652 0.500 0.329